Version i
Material: Y4CdAu
Method: DFT, GGA-PBE
State: optimized geometry

a b c (Å): 9.816 9.816 9.816
angles (deg): 60.00 60.00 60.00
Sites, in units of the cell vectors:
Y1 0.061 0.061 0.439
Y2 0.061 0.439 0.061
Y3 0.061 0.439 0.439
Y4 0.173 0.609 0.609
Y5 0.184 0.184 0.816
Y6 0.184 0.816 0.184
Y7 0.184 0.816 0.816
Y8 0.439 0.061 0.061
Y9 0.439 0.061 0.439
Y10 0.439 0.439 0.061
Y11 0.609 0.173 0.609
Y12 0.609 0.609 0.173
Y13 0.609 0.609 0.609
Y14 0.816 0.184 0.184
Y15 0.816 0.184 0.816
Y16 0.816 0.816 0.184
Cd1 0.501 0.833 0.833
Cd2 0.833 0.501 0.833
Cd3 0.833 0.833 0.501
Cd4 0.833 0.833 0.833
Au1 0.397 0.397 0.397
Au2 0.397 0.397 0.810
Au3 0.397 0.810 0.397
Au4 0.810 0.397 0.397

Results
Size of the total moment (μB per cell): 0.00

***

Version ii
Material: Y4CdAu
Method: DFT, GGA-PBE
State: optimized geometry

a b c (Å): 7.314 7.343 7.063
angles (deg): 90.00 93.42 90.00
Sites, in units of the cell vectors:
Y1 0.156 0.163 0.173
Y2 0.156 0.337 0.673
Y3 0.338 0.649 0.123
Y4 0.338 0.851 0.623
Y5 0.662 0.149 0.377
Y6 0.662 0.351 0.877
Y7 0.844 0.663 0.327
Y8 0.844 0.837 0.827
Cd1 0.500 0.000 0.000
Cd2 0.500 0.500 0.500
Au1 0.000 0.000 0.500
Au2 0.000 0.500 0.000

Results
Size of the total moment (μB per cell): 0.00

***

Least stable = version ii

***

Version i
Material: Zn3CdAu6
Method: DFT, GGA-PBE
State: optimized geometry

a b c (Å): 8.150 8.150 5.879
angles (deg): 90.00 90.00 107.93
Sites, in units of the cell vectors:
Zn1 0.102 0.898 0.500
Zn2 0.216 0.400 0.258
Zn3 0.400 0.216 0.758
Zn4 0.600 0.784 0.258
Zn5 0.784 0.600 0.758
Zn6 0.898 0.102 0.000
Cd1 0.313 0.687 0.680
Cd2 0.687 0.313 0.180
Au1 0.012 0.457 0.940
Au2 0.097 0.210 0.618
Au3 0.210 0.097 0.118
Au4 0.256 0.744 0.149
Au5 0.457 0.012 0.440
Au6 0.486 0.514 0.985
Au7 0.514 0.486 0.485
Au8 0.543 0.988 0.940
Au9 0.744 0.256 0.649
Au10 0.790 0.903 0.618
Au11 0.903 0.790 0.118
Au12 0.988 0.543 0.440

Results
Size of the total moment (μB per cell): 0.00

***

Version ii
Material: Zn3CdAu6
Method: DFT, GGA-PBE
State: optimized geometry

a b c (Å): 8.772 4.250 9.281
angles (deg): 90.00 94.77 90.00
Sites, in units of the cell vectors:
Zn1 0.052 0.250 0.397
Zn2 0.157 0.750 0.186
Zn3 0.255 0.250 0.978
Zn4 0.745 0.750 0.022
Zn5 0.843 0.250 0.814
Zn6 0.948 0.750 0.603
Cd1 0.442 0.250 0.603
Cd2 0.558 0.750 0.397
Au1 0.027 0.750 0.899
Au2 0.118 0.250 0.693
Au3 0.230 0.750 0.481
Au4 0.334 0.250 0.282
Au5 0.335 0.750 0.792
Au6 0.440 0.750 0.092
Au7 0.560 0.250 0.908
Au8 0.665 0.250 0.208
Au9 0.666 0.750 0.718
Au10 0.770 0.250 0.519
Au11 0.882 0.750 0.307
Au12 0.973 0.250 0.101

Results
Size of the total moment (μB per cell): 0.00

***

Least stable = version i

***

Version i
Material: ZnCd3Au3
Method: DFT, GGA-PBE
State: optimized geometry

a b c (Å): 7.445 7.445 6.705
angles (deg): 95.89 95.89 125.59
Sites, in units of the cell vectors:
Zn1 0.177 0.177 0.468
Zn2 0.823 0.823 0.532
Cd1 0.167 0.167 0.878
Cd2 0.270 0.730 0.500
Cd3 0.331 0.669 0.000
Cd4 0.669 0.331 0.000
Cd5 0.730 0.270 0.500
Cd6 0.833 0.833 0.122
Au1 0.000 0.310 0.204
Au2 0.000 0.690 0.796
Au3 0.310 0.000 0.204
Au4 0.474 0.474 0.273
Au5 0.526 0.526 0.727
Au6 0.690 0.000 0.796

Results
Size of the total moment (μB per cell): 0.00

***

Version ii
Material: ZnCd3Au3
Method: DFT, GGA-PBE
State: optimized geometry

a b c (Å): 6.410 6.410 6.813
angles (deg): 90.01 90.01 85.86
Sites, in units of the cell vectors:
Zn1 0.242 0.242 0.499
Zn2 0.758 0.758 0.501
Cd1 0.254 0.254 0.001
Cd2 0.267 0.733 0.000
Cd3 0.320 0.680 0.500
Cd4 0.680 0.320 0.500
Cd5 0.733 0.267 0.000
Cd6 0.746 0.746 0.999
Au1 0.000 0.000 0.278
Au2 0.000 0.000 0.722
Au3 0.000 0.500 0.269
Au4 0.000 0.500 0.731
Au5 0.500 0.000 0.269
Au6 0.500 0.000 0.731

Results
Size of the total moment (μB per cell): 0.00

***

Least stable = version i

***

Version i
Material: Zn5CdAu3
Method: DFT, GGA-PBE
State: optimized geometry

a b c (Å): 7.974 7.974 5.477
angles (deg): 90.00 90.00 120.00
Sites, in units of the cell vectors:
Zn1 0.000 0.331 0.250
Zn2 0.000 0.669 0.750
Zn3 0.331 0.000 0.250
Zn4 0.331 0.331 0.750
Zn5 0.333 0.667 0.000
Zn6 0.333 0.667 0.500
Zn7 0.667 0.333 0.000
Zn8 0.667 0.333 0.500
Zn9 0.669 0.000 0.750
Zn10 0.669 0.669 0.250
Cd1 0.000 0.000 0.000
Cd2 0.000 0.000 0.500
Au1 0.000 0.344 0.750
Au2 0.000 0.656 0.250
Au3 0.344 0.000 0.750
Au4 0.344 0.344 0.250
Au5 0.656 0.000 0.250
Au6 0.656 0.656 0.750

Results
Size of the total moment (μB per cell): 0.00

***

Version ii
Material: Zn5CdAu3
Method: DFT, GGA-PBE
State: optimized geometry

a b c (Å): 6.256 6.256 9.573
angles (deg): 97.81 97.81 74.60
Sites, in units of the cell vectors:
Zn1 0.172 0.828 0.000
Zn2 0.211 0.580 0.239
Zn3 0.213 0.213 0.458
Zn4 0.220 0.220 0.936
Zn5 0.420 0.789 0.761
Zn6 0.580 0.211 0.239
Zn7 0.780 0.780 0.064
Zn8 0.787 0.787 0.542
Zn9 0.789 0.420 0.761
Zn10 0.828 0.172 0.000
Cd1 0.350 0.350 0.720
Cd2 0.650 0.650 0.280
Au1 0.057 0.057 0.655
Au2 0.170 0.170 0.193
Au3 0.500 0.500 0.000
Au4 0.500 0.500 0.500
Au5 0.830 0.830 0.807
Au6 0.943 0.943 0.345

Results
Size of the total moment (μB per cell): 0.00

***

Least stable = version ii